Record 1
The following is a DFT calculation (PBE) of crystalline Co2ReSb at its relaxed geometry.

```
Co2ReSb
1.0
-8.0816 1.3442 1.4278
-7.2521 0.3725 4.0530
-6.9058 3.1880 3.3622
Co Sb Re
2 1 1
Cartesian
-5.6196 1.2394 2.2345
-22.1244 4.8794 8.7973
-16.5741 3.6553 6.5903
-11.2807 2.4879 4.4855
```

Output
- formation energy from raw total energies (eV per atom) = 0.59
- space group = R3m (160)
- D(E_F) (states/eV per cell) = 4.61
- raw total energy (eV/f.u.) = -28.4
- calculated volume (Å³/atom) = 15.0

=====

Record 2
The following is a DFT calculation (PBE) of crystalline CoRe2Sb at its relaxed geometry.

```
CoRe2Sb
1.0
3.8301 0.0000 0.0000
0.0000 3.8301 0.0000
1.9150 1.9150 9.3128
Co Re Sb
2 4 2
Cartesian
1.9150 1.9150 0.0000
1.9150 3.8301 4.6564
2.8726 3.0838 6.9846
2.6613 0.9575 2.3282
4.7876 4.5763 6.9846
1.1688 2.8726 2.3282
3.8301 1.9150 4.6564
0.0000 0.0000 0.0000
```

Output
- formation energy from raw total energies (eV per atom) = 0.69
- space group = I-42d (122)
- D(E_F) (states/eV per cell) = 7.86
- raw total energy (eV/f.u.) = -33.4
- calculated volume (Å³/atom) = 17.1

=====

Record 3
The following is a DFT calculation (PBE) of crystalline CoRe2Sb at its relaxed geometry.

```
CoRe2Sb
1.0
-1.7903 1.4538 8.2753
-3.3236 -1.0056 7.8576
-0.4705 -1.1503 8.5003
Co Sb Re
1 1 2
Cartesian
-4.1883 -0.5266 18.4749
-1.3961 -0.1755 6.1583
-0.0296 -0.0037 0.1304
-2.7626 -0.3473 12.1862
```

Output
- formation energy from raw total energies (eV per atom) = 0.66
- space group = R-3m (166)
- D(E_F) (states/eV per cell) = 4.36
- raw total energy (eV/f.u.) = -33.5
- calculated volume (Å³/atom) = 15.6

=====

Record 4
The following is a DFT calculation (PBE) of crystalline Co2ReSb at its relaxed geometry.

```
Co2ReSb
1.0
-2.3724 1.4323 5.4543
1.6546 -4.1419 -0.8787
1.7908 0.2480 2.2040
Co Re Sb
2 1 1
Cartesian
-0.2908 0.8402 3.8292
0.0000 0.0000 0.0000
1.7227 -1.9470 0.6627
-0.3589 -1.3548 2.2878
```

Output
- formation energy from raw total energies (eV per atom) = 0.37
- space group = Cmmm (65)
- D(E_F) (states/eV per cell) = 5.10
- raw total energy (eV/f.u.) = -29.3
- calculated volume (Å³/atom) = 14.1

=====

Record 5
The following is a DFT calculation (PBE) of crystalline CoReSb4 at its relaxed geometry.

```
CoReSb4
1.0
0.0000 4.2217 4.2217
4.2217 0.0000 4.2217
4.2217 4.2217 0.0000
Co Sb Re
1 4 1
Cartesian
6.3326 6.3326 6.3326
5.2736 5.2736 3.1699
3.1699 3.1699 3.1699
3.1699 5.2736 5.2736
5.2736 3.1699 5.2736
0.0000 0.0000 0.0000
```

Output
- formation energy from raw total energies (eV per atom) = 1.55
- space group = F-43m (216)
- D(E_F) (states/eV per cell) = 8.94
- raw total energy (eV/f.u.) = -26.8
- calculated volume (Å³/atom) = 25.1

=====

Record 6
The following is a DFT calculation (PBE) of crystalline Co2ReSb at its relaxed geometry.

```
Co2ReSb
1.0
-2.0563 -2.8114 -2.9557
-2.9384 -2.4498 2.4964
0.5356 4.5316 -0.2133
Co Re Sb
2 1 1
Cartesian
-2.4969 -2.6301 -0.2296
-0.0004 -0.0005 0.0000
-2.0090 -0.4552 -1.6993
-2.4501 -0.2744 1.0267
```

Output
- formation energy from raw total energies (eV per atom) = 0.36
- space group = I4/mmm (139)
- D(E_F) (states/eV per cell) = 4.89
- raw total energy (eV/f.u.) = -29.4
- calculated volume (Å³/atom) = 13.9